# ZnCd12Hg3

An optimized crystal structure of ZnCd12Hg3 (PBE, the Alexandria database). Values from VASP.

```
&SYSTEM
  ibrav = 0, nat = 16, ntyp = 3
/
ATOMIC_SPECIES
Cd 112.41 Cd.upf
Hg 200.59 Hg.upf
Zn 65.41 Zn.upf
CELL_PARAMETERS angstrom
4.408 0.000 0.000
0.000 4.509 -0.185
0.000 -0.776 18.162
ATOMIC_POSITIONS crystal
Cd 0.500 0.986 0.885
Cd 0.000 0.492 0.883
Cd 0.500 0.014 0.115
Cd 0.500 0.499 0.245
Cd 0.500 0.500 0.500
Cd 0.000 0.508 0.117
Cd 0.500 0.500 0.000
Cd 0.000 0.503 0.628
Cd 0.500 0.501 0.755
Cd 0.500 0.998 0.372
Cd 0.500 0.002 0.628
Cd 0.000 0.497 0.372
Hg 0.000 0.998 0.244
Hg 0.000 0.000 0.500
Hg 0.000 0.002 0.756
Zn 0.000 0.000 0.000
```

Values from the calculation:
calculated formation energy: 28 meV per atom
spin magnetization: 0.00 μB per cell
D(E_F): 4.427 states/eV/cell
calculated density: 9.3 g cm⁻³

---

# PmTm2PuSb4

An optimized crystal structure of PmTm2PuSb4 (PBE, the Alexandria database). Values from VASP.

```
&SYSTEM
  ibrav = 0, nat = 8, ntyp = 4
/
ATOMIC_SPECIES
Sb 121.76 Sb.upf
Tm 168.93 Tm.upf
Pm 145.00 Pm.upf
Pu 244.00 Pu.upf
CELL_PARAMETERS angstrom
4.407 0.000 0.000
0.000 7.604 -0.145
0.000 2.681 7.138
ATOMIC_POSITIONS crystal
Sb 0.500 0.241 0.755
Sb 0.000 0.243 0.250
Sb 0.000 0.757 0.750
Sb 0.500 0.759 0.245
Tm 0.500 0.000 0.500
Tm 0.000 0.000 0.000
Pm 0.000 0.500 0.500
Pu 0.500 0.500 0.000
```

Values from the calculation:
spin magnetization: 5.04 μB per cell
D(E_F): 16.329 states/eV/cell
calculated density: 8.4 g cm⁻³
formation energy without anion corrections: -0.97 eV per atom

---

> Look up the spin magnetization of the first one.

0.00 μB per cell